Material: Pm3Dy3Th4
Method: DFT, PBE
State: relaxed Values from VASP.

Structure (Quantum ESPRESSO input):
```
&SYSTEM
  ibrav = 0, nat = 10, ntyp = 3
/
ATOMIC_SPECIES
Th 232.04 Th.upf
Pm 145.00 Pm.upf
Dy 162.50 Dy.upf
CELL_PARAMETERS angstrom
4.031 0.000 0.000
0.000 9.149 -0.065
0.000 0.016 9.149
ATOMIC_POSITIONS crystal
Th 0.000 0.367 0.633
Th 0.000 0.635 0.365
Th 0.000 0.866 0.867
Th 0.000 0.133 0.134
Pm 0.500 0.338 0.336
Pm 0.500 0.837 0.163
Pm 0.500 0.664 0.662
Dy 0.000 0.002 0.503
Dy 0.500 0.163 0.837
Dy 0.000 0.497 0.998
```

Summary:
Space-group type: No. 38
ΔE_f in meV/atom: 231.8